A crystal of Cu3P4S3I3 relaxed with PBEsol. Source: Alexandria via LeMat-Bulk, functional meta-GGA SCAN.

Output
Uncorrected formation energy ... -206 meV/atom
Volume ... 1316.14 Å³/cell
Total energy ... -915.9 eV for the cell shown
Size of the total moment ... 0.00 μB per formula unit

CIF file:
```
data_Cu3P4S3I3
_cell_length_a 19.0666
_cell_length_b 9.9530
_cell_length_c 6.9354
_cell_angle_alpha 90.00
_cell_angle_beta 90.00
_cell_angle_gamma 90.00
_space_group_name_H-M_alt 'P n m a'
_space_group_IT_number 62
_space_group_name_Hall '-P 2ac 2n'
loop_
_atom_site_label
_atom_site_fract_x
_atom_site_fract_y
_atom_site_fract_z
Cu1 0.1336 0.2500 0.0375
Cu2 0.1834 0.0188 0.5412
P1 0.0238 0.2500 0.1236
P2 0.1142 0.6354 0.6638
P3 0.1465 0.7500 0.9287
S1 0.0087 0.5867 0.7054
S2 0.0544 0.7500 0.0922
I1 0.1409 0.2500 0.6673
I2 0.1921 0.0357 0.1717
```

***

A crystal of Ba4TlAg relaxed with PBEsol. Source: Alexandria via LeMat-Bulk, functional meta-GGA SCAN.

Output
Volume ... 972.67 Å³/cell
Energy relative to the elements ... 385 meV per atom
Total energy ... -1038.5 eV for the cell shown
Size of the total moment ... 0.00 μB per formula unit

CIF file:
```
data_Ba4TlAg
_cell_length_a 9.9081
_cell_length_b 9.9081
_cell_length_c 9.9081
_cell_angle_alpha 90.00
_cell_angle_beta 90.00
_cell_angle_gamma 90.00
_space_group_name_H-M_alt 'F -4 3 m'
_space_group_IT_number 216
_space_group_name_Hall 'F -4 2 3'
loop_
_atom_site_label
_atom_site_fract_x
_atom_site_fract_y
_atom_site_fract_z
Ba1 0.1248 0.1248 0.1248
Tl1 0.2500 0.2500 0.7500
Ag1 0.0000 0.0000 0.5000
```

***

A crystal of SiHgMo2 relaxed with PBEsol. Source: Alexandria via LeMat-Bulk, functional meta-GGA SCAN.

Output
Uncorrected formation energy ... 246 meV/atom
Volume ... 67.20 Å³/cell
Total energy ... -147.0 eV for the cell shown
Size of the total moment ... 0.00 μB per formula unit

CIF file:
```
data_SiHgMo2
_cell_length_a 3.1056
_cell_length_b 3.1182
_cell_length_c 7.0620
_cell_angle_alpha 90.00
_cell_angle_beta 100.69
_cell_angle_gamma 90.00
_space_group_name_H-M_alt 'P 1 m 1'
_space_group_IT_number 6
_space_group_name_Hall 'P -2y'
loop_
_atom_site_label
_atom_site_fract_x
_atom_site_fract_y
_atom_site_fract_z
Si1 0.0000 0.0000 0.0000
Hg1 0.2068 0.5000 0.3193
Mo1 0.4238 0.5000 0.8188
Mo2 0.8311 0.0000 0.6062
```